Sm6SnAs3S2 (GGA-PBE, optimized geometry); E_tot = -6.09 eV per atom; crystal system = monoclinic; DOS(E_F) = 0.23 states/eV/atom; space group = C2/m (12); ΔE_f (raw) = -1.551 eV/atom
1.0
9.1497 -2.0896 0.0000
9.1497 2.0896 0.0000
-1.9137 0.0000 8.2262
Sm Sn As S
6 1 3 2
Direct
0.0024 0.0024 0.2635
0.3284 0.3284 0.9137
0.3330 0.3330 0.4154
0.6670 0.6670 0.5846
0.6716 0.6716 0.0863
0.9976 0.9976 0.7365
0.5000 0.5000 0.0000
0.1658 0.1658 0.8308
0.5000 0.5000 0.5000
0.8342 0.8342 0.1692
0.1700 0.1700 0.3391
0.8300 0.8300 0.6609